(1)
## ZnCo2Cu2 (GGA-PBE)

Data for a relaxed ZnCo2Cu2 crystal.

## Properties
As for the uncorrected energy: -4.452 eV/atom. For the excess energy over the best structure of this formula in the dataset, the calculation gives 0 meV/atom. The density of states at the Fermi level is 10.74 states/eV/cell.

abc: 6.991 6.991 2.587
angles: 90.00 90.00 90.00
Fractional coordinates of all 10 atoms:
Zn: 0.000 0.000 0.000
Zn: 0.500 0.500 0.000
Co: 0.117 0.383 0.000
Co: 0.383 0.883 0.000
Co: 0.617 0.117 0.000
Co: 0.883 0.617 0.000
Cu: 0.179 0.679 0.500
Cu: 0.321 0.179 0.500
Cu: 0.679 0.821 0.500
Cu: 0.821 0.321 0.500

(2)
## Zn6Co2Cu (GGA-PBE)

Data for a relaxed Zn6Co2Cu crystal.

## Properties
As for the uncorrected energy: -2.691 eV/atom. For the excess energy over the best structure of this formula in the dataset, the calculation gives 137 meV/atom. The density of states at the Fermi level is 4.98 states/eV/cell.

abc: 6.971 6.971 4.021
angles: 106.50 106.50 48.94
Fractional coordinates of all 9 atoms:
Zn: 0.073 0.588 0.330
Zn: 0.236 0.764 0.000
Zn: 0.412 0.927 0.670
Zn: 0.588 0.073 0.330
Zn: 0.764 0.236 0.000
Zn: 0.927 0.412 0.670
Co: 0.168 0.168 0.169
Co: 0.832 0.832 0.831
Cu: 0.500 0.500 0.500

(3)
## ZnCo2Cu (GGA-PBE)

Data for a relaxed ZnCo2Cu crystal.

## Properties
As for the uncorrected energy: -4.808 eV/atom. The density of states at the Fermi level is 5.08 states/eV/cell.

abc: 3.537 3.537 3.804
angles: 90.00 90.00 90.00
Fractional coordinates of all 4 atoms:
Zn: 0.000 0.000 0.000
Co: 0.000 0.500 0.500
Co: 0.500 0.000 0.500
Cu: 0.500 0.500 0.000

(4)
## ZnCo2Cu (GGA-PBE)

Data for a relaxed ZnCo2Cu crystal.

## Properties
As for the uncorrected energy: -4.778 eV/atom. The density of states at the Fermi level is 5.45 states/eV/cell.

abc: 2.525 2.525 7.448
angles: 90.00 90.00 90.20
Fractional coordinates of all 4 atoms:
Zn: 0.000 0.000 0.000
Co: 0.500 0.500 0.256
Co: 0.500 0.500 0.744
Cu: 0.000 0.000 0.500